1.
SbBrF: optimized geometry, PBE-GGA.

Structure (POSCAR):
```
SbBrF
1.0
6.528 0.000 0.000
0.000 8.090 0.000
-4.540 0.000 7.743
Sb Br F
4 4 4
direct
0.021 0.168 0.258 Sb
0.021 0.332 0.758 Sb
0.979 0.668 0.242 Sb
0.979 0.832 0.742 Sb
0.348 0.681 0.776 Br
0.348 0.819 0.276 Br
0.652 0.181 0.724 Br
0.652 0.319 0.224 Br
0.137 0.053 0.734 F
0.137 0.447 0.234 F
0.863 0.553 0.766 F
0.863 0.947 0.266 F
```

ΔE_f (raw) ... -0.974 eV/atom
Energy above the most stable polymorph in this dataset ... 164 meV/atom

---

2.
CsNaTl2: optimized geometry, PBE-GGA.

Structure (POSCAR):
```
CsNaTl2
1.0
4.147 0.000 0.000
0.000 4.147 0.000
0.000 0.000 8.970
Cs Na Tl
1 1 2
direct
0.000 0.000 0.000 Cs
0.000 0.000 0.500 Na
0.500 0.500 0.319 Tl
0.500 0.500 0.681 Tl
```

Energy above the most stable polymorph in this dataset ... 48 meV/atom

---

3.
HoLuInCu: optimized geometry, PBE-GGA.

Structure (POSCAR):
```
HoLuInCu
1.0
7.201 0.000 0.000
0.000 7.201 0.000
0.000 0.000 7.201
Ho Lu In Cu
4 4 4 4
direct
0.000 0.000 0.000 Ho
0.000 0.500 0.500 Ho
0.500 0.000 0.500 Ho
0.500 0.500 0.000 Ho
0.000 0.000 0.500 Lu
0.000 0.500 0.000 Lu
0.500 0.000 0.000 Lu
0.500 0.500 0.500 Lu
0.250 0.250 0.250 In
0.250 0.750 0.750 In
0.750 0.250 0.750 In
0.750 0.750 0.250 In
0.250 0.250 0.750 Cu
0.250 0.750 0.250 Cu
0.750 0.250 0.250 Cu
0.750 0.750 0.750 Cu
```

Final energy ... -4.30 eV/atom

---

4.
TaBeCo3: optimized geometry, PBE-GGA.

Structure (POSCAR):
```
TaBeCo3
1.0
3.847 0.000 0.000
0.000 3.847 0.000
0.000 0.000 3.847
Ta Be Co
1 1 3
direct
0.000 0.000 0.000 Ta
0.500 0.500 0.500 Be
0.000 0.500 0.500 Co
0.500 0.000 0.500 Co
0.500 0.500 0.000 Co
```

Energy above the most stable polymorph in this dataset ... 115 meV/atom

---

5.
Tb6Y3Ho2Tl: optimized geometry, PBE-GGA.

Structure (POSCAR):
```
Tb6Y3Ho2Tl
1.0
3.060 -5.307 0.000
3.060 5.307 0.000
-2.056 0.000 11.471
Tb Y Ho Tl
6 3 2 1
direct
0.082 0.411 0.246 Tb
0.248 0.248 0.752 Tb
0.411 0.082 0.246 Tb
0.589 0.918 0.754 Tb
0.752 0.752 0.248 Tb
0.918 0.589 0.754 Tb
0.167 0.833 0.500 Y
0.500 0.500 0.500 Y
0.833 0.167 0.500 Y
0.334 0.666 0.000 Ho
0.666 0.334 0.000 Ho
0.000 0.000 0.000 Tl
```

Final energy ... -4.90 eV/atom

---

6.
SrCuAg2Cl6: optimized geometry, PBE-GGA.

Structure (POSCAR):
```
SrCuAg2Cl6
1.0
6.728 0.000 0.000
-2.775 6.216 0.000
-0.038 -3.200 6.230
Sr Cu Ag Cl
1 1 2 6
direct
0.000 0.000 0.000 Sr
0.520 0.030 0.520 Cu
0.214 0.448 0.615 Ag
0.705 0.431 0.133 Ag
0.096 0.490 0.288 Cl
0.306 0.187 0.748 Cl
0.427 0.163 0.291 Cl
0.579 0.885 0.752 Cl
0.720 0.865 0.292 Cl
0.891 0.495 0.805 Cl
```

ΔE_f (raw) ... -1.018 eV/atom

---

7.
LaPS2Cl: optimized geometry, PBE-GGA.

Structure (POSCAR):
```
LaPS2Cl
1.0
4.891 0.000 0.000
0.000 4.891 0.000
0.000 0.000 4.533
La P S Cl
1 1 2 1
direct
0.000 0.000 0.000 La
0.500 0.500 0.000 P
0.000 0.500 0.500 S
0.500 0.000 0.500 S
0.500 0.500 0.500 Cl
```

ΔE_f (raw) ... -0.134 eV/atom
Energy above the most stable polymorph in this dataset ... 684 meV/atom

---

8.
BaLa2MgRu: optimized geometry, PBE-GGA.

Structure (POSCAR):
```
BaLa2MgRu
1.0
5.482 0.000 0.000
0.000 5.482 0.000
0.000 0.000 5.659
Ba La Mg Ru
1 2 1 1
direct
0.000 0.000 0.000 Ba
0.000 0.500 0.500 La
0.500 0.000 0.500 La
0.500 0.500 0.000 Mg
0.500 0.500 0.500 Ru
```

Energy above the most stable polymorph in this dataset ... 0 meV/atom

---

9.
GaSF3: optimized geometry, PBE-GGA.

Structure (POSCAR):
```
GaSF3
1.0
4.317 0.000 0.000
0.000 4.317 0.000
0.000 0.000 4.317
Ga S F
1 1 3
direct
0.000 0.000 0.000 Ga
0.500 0.500 0.500 S
0.000 0.500 0.500 F
0.500 0.000 0.500 F
0.500 0.500 0.000 F
```

ΔE_f (raw) ... -0.817 eV/atom
Energy above the most stable polymorph in this dataset ... 422 meV/atom

---

10.
Ba2SiSbAu6: optimized geometry, PBE-GGA.

Structure (POSCAR):
```
Ba2SiSbAu6
1.0
7.167 0.000 0.000
0.000 9.406 0.000
0.000 0.000 7.608
Ba Si Sb Au
4 2 2 12
direct
0.250 0.024 0.235 Ba
0.250 0.476 0.235 Ba
0.750 0.524 0.765 Ba
0.750 0.976 0.765 Ba
0.250 0.250 0.595 Si
0.750 0.750 0.405 Si
0.250 0.750 0.897 Sb
0.750 0.250 0.103 Sb
0.050 0.250 0.885 Au
0.060 0.750 0.525 Au
0.250 0.003 0.716 Au
0.250 0.497 0.716 Au
0.440 0.750 0.525 Au
0.450 0.250 0.885 Au
0.550 0.750 0.115 Au
0.560 0.250 0.475 Au
0.750 0.503 0.284 Au
0.750 0.997 0.284 Au
0.940 0.250 0.475 Au
0.950 0.750 0.115 Au
```

ΔE_f (raw) ... -0.528 eV/atom

---

11.
Pr2Al3CuAu4: optimized geometry, PBE-GGA.

Structure (POSCAR):
```
Pr2Al3CuAu4
1.0
4.482 0.000 0.000
0.000 4.482 0.000
0.000 0.000 10.281
Pr Al Cu Au
2 3 1 4
direct
0.000 0.500 0.243 Pr
0.500 0.000 0.757 Pr
0.000 0.000 0.000 Al
0.000 0.500 0.629 Al
0.500 0.000 0.371 Al
0.500 0.500 0.000 Cu
0.000 0.000 0.500 Au
0.000 0.500 0.872 Au
0.500 0.000 0.128 Au
0.500 0.500 0.500 Au
```

Final energy ... -4.44 eV/atom

---

12.
Cd2CuNi: optimized geometry, PBE-GGA.

Structure (POSCAR):
```
Cd2CuNi
1.0
8.880 0.000 0.000
0.000 2.925 0.000
-0.993 0.000 4.991
Cd Cu Ni
4 2 2
direct
0.247 0.000 0.246 Cd
0.253 0.500 0.754 Cd
0.747 0.500 0.246 Cd
0.753 0.000 0.754 Cd
0.000 0.000 0.500 Cu
0.500 0.500 0.500 Cu
0.000 0.500 0.000 Ni
0.500 0.000 0.000 Ni
```

Energy above the most stable polymorph in this dataset ... 104 meV/atom

---

no.,calculated density (g/cm3),Fermi-level density of states (states/eV/f.u.)
1,3.58,0.227
2,6.08,4.170
3,9.22,2.756
4,10.69,1.195
5,7.82,15.478
6,3.69,3.284
7,4.13,4.604
8,5.28,4.148
9,3.28,1.219
10,10.40,3.985
11,9.76,5.818
12,8.89,1.634